(1)
TePtIBr | PBE | relaxed

a = 3.9865 Å, b = 3.9865 Å, c = 8.3586 Å
α = 90.00°, β = 90.00°, γ = 120.00°
Last column: nearest neighbours and their distance in Å.
Element x y z (fractional)
Te  0.0000  0.0000  0.0000  3 Pt 2.73
Pt  0.6667  0.3333  0.8254  3 Te 2.73, 3 I 2.80
I  0.3333  0.6667  0.6347  3 Pt 2.80
Br  0.6667  0.3333  0.2730  3 Te 3.24

Spin magnetization   0.00 μB per formula unit
DOS at the Fermi energy   0.5 states/eV per cell
Formation energy without anion corrections   -0.218 eV per atom
Electronic total energy   -13.276 eV for the cell shown



(2)
TePtI2Br | PBE | relaxed

a = 5.5523 Å, b = 5.5523 Å, c = 5.2430 Å
α = 90.00°, β = 90.00°, γ = 90.00°
Last column: nearest neighbours and their distance in Å.
Element x y z (fractional)
Te  0.0000  0.0000  0.0000  2 Pt 2.62
Pt  0.0000  0.0000  0.5000  2 Te 2.62, 4 I 2.78
I  0.0000  0.5000  0.5000  2 Pt 2.78
I  0.5000  0.0000  0.5000  2 Pt 2.78
Br  0.5000  0.5000  0.0000  8 I 3.82, 4 Te 3.93

Excess energy over the best structure of this formula in the dataset   0 meV/atom
Spin magnetization   0.00 μB per formula unit
DOS at the Fermi energy   6.8 states/eV per cell
Formation energy without anion corrections   0.266 eV per atom
Electronic total energy   -12.628 eV for the cell shown



(3)
TePtI2Br | PBE | relaxed

a = 5.7601 Å, b = 5.7601 Å, c = 5.5898 Å
α = 90.00°, β = 90.00°, γ = 90.00°
Last column: nearest neighbours and their distance in Å.
Element x y z (fractional)
Te  0.0000  0.0000  0.0000  2 Br 2.79
Pt  0.5000  0.5000  0.0000  8 I 4.01, 4 Te 4.07
I  0.0000  0.5000  0.5000  2 Br 2.88
I  0.5000  0.0000  0.5000  2 Br 2.88
Br  0.0000  0.0000  0.5000  2 Te 2.79, 4 I 2.88

Excess energy over the best structure of this formula in the dataset   1008 meV/atom
Spin magnetization   1.31 μB per formula unit
DOS at the Fermi energy   8.7 states/eV per cell
Formation energy without anion corrections   1.274 eV per atom
Electronic total energy   -7.588 eV for the cell shown



(4)
Te2PtIBr | PBE | relaxed

a = 5.3678 Å, b = 5.3678 Å, c = 5.1813 Å
α = 90.00°, β = 90.00°, γ = 90.00°
Last column: nearest neighbours and their distance in Å.
Element x y z (fractional)
Te  0.0000  0.5000  0.0000  2 Pt 2.68
Te  0.5000  0.0000  0.0000  2 Pt 2.68
Pt  0.0000  0.0000  0.0000  2 Br 2.59, 4 Te 2.68
I  0.5000  0.5000  0.5000  8 Te 3.73, 4 Br 3.80
Br  0.0000  0.0000  0.5000  2 Pt 2.59

Excess energy over the best structure of this formula in the dataset   0 meV/atom
Spin magnetization   0.00 μB per formula unit
DOS at the Fermi energy   5.6 states/eV per cell
Formation energy without anion corrections   0.208 eV per atom
Electronic total energy   -14.505 eV for the cell shown